VASP calculation (PBE with a Hubbard U) on an optimized crystal structure of Cr2Mo3O12.

Properties
DFT total energy (eV per atom): -7.34
Magnetic moment (μB per formula unit): 6.0
DOS(E_F) (states/eV per atom): 0.0000

Cell lengths 9.3920, 9.4858, 13.0456 Å; angles 90.00, 90.00, 90.00 degrees
Last column: nearest neighbours and their distance in Å.
Element x y z (fractional)
Cr 0.2499 0.5356 0.6183  6 O 1.99-2.00
Cr 0.7501 0.0356 0.6183  6 O 1.99-2.00
Cr 0.2501 0.0356 0.8817  6 O 1.99-2.00
Cr 0.2501 0.4644 0.1183  6 O 1.99-2.00
Cr 0.7499 0.5356 0.8817  6 O 1.99-2.00
Cr 0.7499 0.9644 0.1183  6 O 1.99-2.00
Cr 0.2499 0.9644 0.3817  6 O 1.99-2.00
Cr 0.7501 0.4644 0.3817  6 O 1.99-2.00
Mo 0.1036 0.6184 0.3548  4 O 1.79-1.80
Mo 0.0257 0.7500 0.0000  4 O 1.79
Mo 0.9743 0.2500 0.0000  4 O 1.79
Mo 0.8964 0.1184 0.3548  4 O 1.79-1.80
Mo 0.8964 0.3816 0.6452  4 O 1.79-1.80
Mo 0.6036 0.8816 0.8548  4 O 1.79-1.80
Mo 0.4743 0.2500 0.5000  4 O 1.79
Mo 0.3964 0.1184 0.1452  4 O 1.79-1.80
Mo 0.5257 0.7500 0.5000  4 O 1.79
Mo 0.1036 0.8816 0.6452  4 O 1.79-1.80
Mo 0.3964 0.3816 0.8548  4 O 1.79-1.80
Mo 0.6036 0.6184 0.1452  4 O 1.79-1.80
O 0.8202 0.4256 0.5238  1 Mo 1.79, 1 Cr 2.00
O 0.9145 0.9067 0.6413  1 Mo 1.79, 1 Cr 1.99
O 0.6798 0.9256 0.9762  1 Mo 1.79, 1 Cr 2.00
O 0.0853 0.1654 0.9065  1 Mo 1.79, 1 Cr 2.00
O 0.6798 0.5744 0.0238  1 Mo 1.79, 1 Cr 2.00
O 0.4147 0.6654 0.5935  1 Mo 1.79, 1 Cr 2.00
O 0.0855 0.4067 0.6413  1 Mo 1.79, 1 Cr 1.99
O 0.3202 0.0744 0.0238  1 Mo 1.79, 1 Cr 2.00
O 0.3638 0.3014 0.1714  1 Mo 1.80, 1 Cr 2.00
O 0.1362 0.8014 0.3286  1 Mo 1.80, 1 Cr 2.00
O 0.4145 0.9067 0.8587  1 Mo 1.79, 1 Cr 1.99
O 0.0853 0.3346 0.0935  1 Mo 1.79, 1 Cr 2.00
O 0.1342 0.8762 0.9349  1 Mo 1.79, 1 Cr 1.99
O 0.8638 0.3014 0.3286  1 Mo 1.80, 1 Cr 2.00
O 0.6362 0.6986 0.8286  1 Mo 1.80, 1 Cr 2.00
O 0.9147 0.8346 0.0935  1 Mo 1.79, 1 Cr 2.00
O 0.8658 0.1238 0.0651  1 Mo 1.79, 1 Cr 1.99
O 0.3638 0.1986 0.8286  1 Mo 1.80, 1 Cr 2.00
O 0.5855 0.0933 0.1413  1 Mo 1.79, 1 Cr 1.99
O 0.0855 0.0933 0.3587  1 Mo 1.79, 1 Cr 1.99
O 0.1798 0.5744 0.4762  1 Mo 1.79, 1 Cr 2.00
O 0.8190 0.0072 0.2588  1 Mo 1.79, 1 Cr 1.99
O 0.4147 0.8346 0.4065  1 Mo 1.79, 1 Cr 2.00
O 0.3658 0.1238 0.4349  1 Mo 1.79, 1 Cr 1.99
O 0.3202 0.4256 0.9762  1 Mo 1.79, 1 Cr 2.00
O 0.8638 0.1986 0.6714  1 Mo 1.80, 1 Cr 2.00
O 0.9145 0.5933 0.3587  1 Mo 1.79, 1 Cr 1.99
O 0.1362 0.6986 0.6714  1 Mo 1.80, 1 Cr 2.00
O 0.8658 0.3762 0.9349  1 Mo 1.79, 1 Cr 1.99
O 0.3658 0.3762 0.5651  1 Mo 1.79, 1 Cr 1.99
O 0.4145 0.5933 0.1413  1 Mo 1.79, 1 Cr 1.99
O 0.1810 0.5072 0.2588  1 Mo 1.79, 1 Cr 1.99
O 0.6362 0.8014 0.1714  1 Mo 1.80, 1 Cr 2.00
O 0.1810 0.9928 0.7412  1 Mo 1.79, 1 Cr 1.99
O 0.8202 0.0744 0.4762  1 Mo 1.79, 1 Cr 2.00
O 0.5855 0.4067 0.8587  1 Mo 1.79, 1 Cr 1.99
O 0.1798 0.9256 0.5238  1 Mo 1.79, 1 Cr 2.00
O 0.3190 0.4928 0.7588  1 Mo 1.79, 1 Cr 1.99
O 0.5853 0.3346 0.4065  1 Mo 1.79, 1 Cr 2.00
O 0.8190 0.4928 0.7412  1 Mo 1.79, 1 Cr 1.99
O 0.6810 0.5072 0.2412  1 Mo 1.79, 1 Cr 1.99
O 0.9147 0.6654 0.9065  1 Mo 1.79, 1 Cr 2.00
O 0.6342 0.6238 0.4349  1 Mo 1.79, 1 Cr 1.99
O 0.3190 0.0072 0.2412  1 Mo 1.79, 1 Cr 1.99
O 0.6342 0.8762 0.5651  1 Mo 1.79, 1 Cr 1.99
O 0.1342 0.6238 0.0651  1 Mo 1.79, 1 Cr 1.99
O 0.5853 0.1654 0.5935  1 Mo 1.79, 1 Cr 2.00
O 0.6810 0.9928 0.7588  1 Mo 1.79, 1 Cr 1.99